(1)
DFT (PBE) results for a geometry-optimized Sc3Co structure.

Unit cell a=4.016 b=4.016 c=19.224 alpha=90.00 beta=90.00 gamma=90.00
Space group I4/mmm (No. 139)
Symmetry-distinct sites (fractional):
Sc1 0.000 0.000 0.123 (multiplicity 4)
Sc2 0.000 0.500 0.000 (multiplicity 4)
Sc3 0.000 0.500 0.250 (multiplicity 4)
Co1 0.000 0.000 0.387 (multiplicity 4)

For the volume, the calculation gives 19.380 A^3/atom. The value obtained for the density of states at the Fermi level is 24.1 states/eV per cell. The energy of formation is 0.095 eV per atom.



(2)
DFT (PBE) results for a geometry-optimized CaZrSe2 structure.

Unit cell a=7.013 b=7.013 c=7.013 alpha=90.00 beta=90.00 gamma=90.00
Space group Fm-3m (No. 225)
Symmetry-distinct sites (fractional):
Ca1 0.000 0.000 0.000 (multiplicity 4)
Zr1 0.000 0.000 0.500 (multiplicity 4)
Se1 0.250 0.250 0.250 (multiplicity 8)

For the volume, the calculation gives 21.555 A^3/atom. As for the energy relative to the elements, uncorrected: -1.197 eV/atom. The value obtained for the density of states at the Fermi level is 2.3 states/eV per cell. As for the relative energy among the computed polymorphs: 0.291 eV/atom.



(3)
DFT (PBE) results for a geometry-optimized Nd6DySn4 structure.

Unit cell a=8.036 b=8.036 c=12.108 alpha=90.00 beta=90.00 gamma=90.00
Space group I-42m (No. 121)
Symmetry-distinct sites (fractional):
Nd1 0.000 0.500 0.000 (multiplicity 4)
Nd2 0.160 0.160 0.336 (multiplicity 8)
Dy1 0.000 0.000 0.000 (multiplicity 2)
Sn1 0.231 0.231 0.599 (multiplicity 8)

For the volume, the calculation gives 35.543 A^3/atom. The value obtained for the density of states at the Fermi level is 23.6 states/eV per cell. The energy of formation is -0.358 eV per atom.



(4)
DFT (PBE) results for a geometry-optimized Mn4PRh structure.

Unit cell a=6.600 b=6.600 c=6.600 alpha=90.00 beta=90.00 gamma=90.00
Space group F-43m (No. 216)
Symmetry-distinct sites (fractional):
Mn1 0.125 0.125 0.125 (multiplicity 16)
P1 0.250 0.250 0.750 (multiplicity 4)
Rh1 0.000 0.000 0.500 (multiplicity 4)

For the volume, the calculation gives 11.981 A^3/atom. The value obtained for the density of states at the Fermi level is 33.4 states/eV per cell. The energy of formation is 0.323 eV per atom.



(5)
DFT (PBE) results for a geometry-optimized SrMnPb2 structure.

Unit cell a=5.556 b=3.751 c=6.074 alpha=90.00 beta=109.42 gamma=90.00
Space group P2/m (No. 10)
Symmetry-distinct sites (fractional):
Sr1 0.000 0.000 0.000 (multiplicity 1)
Mn1 0.000 0.500 0.500 (multiplicity 1)
Pb1 0.500 0.000 0.500 (multiplicity 1)
Pb2 0.500 0.500 0.000 (multiplicity 1)

For the volume, the calculation gives 29.842 A^3/atom. The value obtained for the density of states at the Fermi level is 2.8 states/eV per cell. The energy of formation is 0.167 eV per atom.



(6)
DFT (PBE) results for a geometry-optimized LaTcOs2 structure.

Unit cell a=4.107 b=4.107 c=4.235 alpha=90.00 beta=90.00 gamma=90.00
Space group P4/mmm (No. 123)
Symmetry-distinct sites (fractional):
La1 0.000 0.000 0.000 (multiplicity 1)
Tc1 0.500 0.500 0.000 (multiplicity 1)
Os1 0.000 0.500 0.500 (multiplicity 2)

For the volume, the calculation gives 17.857 A^3/atom. The value obtained for the density of states at the Fermi level is 7.5 states/eV per cell. The energy of formation is 0.781 eV per atom. As for the relative energy among the computed polymorphs: 0.489 eV/atom.



(7)
DFT (PBE) results for a geometry-optimized ScIn2Ag8 structure.

Unit cell a=15.343 b=4.189 c=6.778 alpha=90.00 beta=105.69 gamma=90.00
Space group C2/m (No. 12)
Symmetry-distinct sites (fractional):
Sc1 0.000 0.000 0.000 (multiplicity 2)
In1 0.226 0.500 0.651 (multiplicity 4)
Ag1 0.043 0.500 0.729 (multiplicity 4)
Ag2 0.089 0.000 0.458 (multiplicity 4)
Ag3 0.134 0.500 0.185 (multiplicity 4)
Ag4 0.179 0.000 0.911 (multiplicity 4)

For the volume, the calculation gives 19.066 A^3/atom. The value obtained for the density of states at the Fermi level is 6.9 states/eV per cell. The energy of formation is -0.073 eV per atom.



(8)
DFT (PBE) results for a geometry-optimized VRuC3 structure.

Unit cell a=3.930 b=3.930 c=3.930 alpha=90.00 beta=90.00 gamma=90.00
Space group Pm-3m (No. 221)
Symmetry-distinct sites (fractional):
V1 0.000 0.000 0.000 (multiplicity 1)
Ru1 0.500 0.500 0.500 (multiplicity 1)
C1 0.000 0.500 0.500 (multiplicity 3)

For the volume, the calculation gives 12.137 A^3/atom. The value obtained for the density of states at the Fermi level is 6.4 states/eV per cell. The energy of formation is 2.026 eV per atom. As for the relative energy among the computed polymorphs: 0.000 eV/atom.



(9)
DFT (PBE) results for a geometry-optimized ReWCl2 structure.

Unit cell a=2.799 b=4.089 c=5.593 alpha=90.00 beta=90.00 gamma=90.00
Space group Pmmm (No. 47)
Symmetry-distinct sites (fractional):
Re1 0.000 0.000 0.000 (multiplicity 1)
W1 0.000 0.000 0.500 (multiplicity 1)
Cl1 0.500 0.500 0.253 (multiplicity 2)

For the volume, the calculation gives 16.003 A^3/atom. As for the energy relative to the elements, uncorrected: 1.608 eV/atom. The value obtained for the density of states at the Fermi level is 4.6 states/eV per cell. As for the relative energy among the computed polymorphs: 1.790 eV/atom.



(10)
DFT (PBE) results for a geometry-optimized AlPtSe2 structure.

Unit cell a=4.483 b=4.483 c=7.067 alpha=90.00 beta=90.00 gamma=90.00
Space group I-4m2 (No. 119)
Symmetry-distinct sites (fractional):
Al1 0.000 0.000 0.000 (multiplicity 2)
Pt1 0.000 0.500 0.750 (multiplicity 2)
Se1 0.000 0.000 0.500 (multiplicity 2)
Se2 0.000 0.500 0.250 (multiplicity 2)

For the volume, the calculation gives 17.751 A^3/atom. As for the energy relative to the elements, uncorrected: 0.188 eV/atom. The value obtained for the density of states at the Fermi level is 4.1 states/eV per cell.



(11)
DFT (PBE) results for a geometry-optimized TbSi2Mo structure.

Unit cell a=3.6473 b=3.6473 c=19.9942 alpha=90.00 beta=90.00 gamma=120.00
Space group R-3m (No. 166, hexagonal axes)
Symmetry-distinct sites (fractional):
Tb1 0.0000 0.0000 0.0000 (multiplicity 3)
Si1 0.0000 0.0000 0.2374 (multiplicity 6)
Mo1 0.0000 0.0000 0.5000 (multiplicity 3)

For the volume, the calculation gives 19.195 A^3/atom. As for the energy relative to the elements, uncorrected: -0.272 eV/atom. The value obtained for the density of states at the Fermi level is 8.3 states/eV per cell.



(12)
DFT (PBE) results for a geometry-optimized Nd2Ga4Ni5 structure.

Unit cell a=5.391 b=9.295 c=14.706 alpha=90.00 beta=90.00 gamma=90.00
Space group Fmmm (No. 69)
Symmetry-distinct sites (fractional):
Nd1 0.000 0.000 0.135 (multiplicity 8)
Ga1 0.000 0.160 0.372 (multiplicity 16)
Ni1 0.000 0.000 0.500 (multiplicity 4)
Ni2 0.250 0.250 0.000 (multiplicity 8)
Ni3 0.250 0.250 0.250 (multiplicity 8)

For the volume, the calculation gives 16.747 A^3/atom. The value obtained for the density of states at the Fermi level is 30.7 states/eV per cell. The energy of formation is -0.490 eV per atom.